[1]
## SrSiOs2 (PBE-GGA)

Data for a relaxed SrSiOs2 crystal.

The structure in extended XYZ format:
```
4
Lattice="-1.449 2.575 4.702 1.449 -2.575 4.702 1.449 2.575 -4.702" Properties=species:S:1:pos:R:3 pbc="T T T"
Sr 0.000 0.000 0.000
Si 0.000 0.000 4.702
Os 1.449 0.000 2.754
Os 0.000 2.575 1.948
```

Results
- energy relative to the elements, uncorrected (kJ/mol of formula units) = 203
- E_tot (eV/cell) = -27.458
- spin magnetization (μB/cell) = 0.00
- symmetry = Immm, No. 71



[2]
## Sr4SiOs (PBE-GGA)

Data for a relaxed Sr4SiOs crystal.

The structure in extended XYZ format:
```
6
Lattice="0.000 4.484 4.484 4.484 0.000 4.484 4.484 4.484 0.000" Properties=species:S:1:pos:R:3 pbc="T T T"
Sr 1.115 1.115 1.115
Sr 3.369 3.369 1.115
Sr 3.369 1.115 3.369
Sr 1.115 3.369 3.369
Si 4.484 4.484 4.484
Os 6.726 6.726 6.726
```

Results
- energy relative to the elements, uncorrected (kJ/mol of formula units) = 737
- E_tot (eV/cell) = -15.741
- spin magnetization (μB/cell) = 0.01
- symmetry = F-43m, No. 216



[3]
## SrSiOs2 (PBE-GGA)

Data for a relaxed SrSiOs2 crystal.

The structure in extended XYZ format:
```
4
Lattice="2.950 0.000 0.000 0.000 2.950 0.000 0.000 0.000 8.157" Properties=species:S:1:pos:R:3 pbc="T T T"
Sr 0.000 0.000 0.000
Si 1.475 1.475 5.661
Os 0.000 0.000 4.120
Os 1.475 1.475 2.476
```

Results
- energy relative to the elements, uncorrected (kJ/mol of formula units) = 85
- E_tot (eV/cell) = -28.686
- spin magnetization (μB/cell) = 0.00
- symmetry = P4mm, No. 99



[4]
## SrSiOs2 (PBE-GGA)

Data for a relaxed SrSiOs2 crystal.

The structure in extended XYZ format:
```
4
Lattice="2.117 1.222 5.616 -2.117 1.222 5.616 0.000 -2.444 5.616" Properties=species:S:1:pos:R:3 pbc="T T T"
Sr 0.000 0.000 0.000
Si 0.000 0.000 13.437
Os 0.000 0.000 3.277
Os 0.000 0.000 8.461
```

Results
- energy relative to the elements, uncorrected (kJ/mol of formula units) = -14
- E_tot (eV/cell) = -29.712
- spin magnetization (μB/cell) = 0.00
- symmetry = R3m, No. 160



[5]
## SrSi2TcOs (PBE-GGA)

Data for a relaxed SrSi2TcOs crystal.

The structure in extended XYZ format:
```
5
Lattice="-2.103 2.103 5.228 2.103 -2.103 5.228 2.103 2.103 -5.228" Properties=species:S:1:pos:R:3 pbc="T T T"
Sr 0.000 0.000 0.000
Si 0.000 0.000 3.825
Si 0.000 0.000 6.631
Tc 0.000 2.103 2.614
Os 2.103 0.000 2.614
```

Results
- energy relative to the elements, uncorrected (kJ/mol of formula units) = -205
- E_tot (eV/cell) = -36.253
- spin magnetization (μB/cell) = 0.00
- symmetry = I-4m2, No. 119



[6]
## Sr2TlSiOs (PBE-GGA)

Data for a relaxed Sr2TlSiOs crystal.

The structure in extended XYZ format:
```
5
Lattice="5.873 0.000 0.000 0.000 5.873 0.000 0.000 0.000 4.640" Properties=species:S:1:pos:R:3 pbc="T T T"
Sr 0.000 2.937 0.000
Sr 2.937 0.000 0.000
Tl 0.000 0.000 2.320
Si 2.937 2.937 2.320
Os 2.937 2.937 0.000
```

Results
- energy relative to the elements, uncorrected (kJ/mol of formula units) = 39
- E_tot (eV/cell) = -21.979
- spin magnetization (μB/cell) = 0.00
- symmetry = P4/mmm, No. 123



[7]
## SrSiOs2W (PBE-GGA)

Data for a relaxed SrSiOs2W crystal.

The structure in extended XYZ format:
```
5
Lattice="4.701 0.000 0.000 0.000 4.701 0.000 0.000 0.000 4.801" Properties=species:S:1:pos:R:3 pbc="T T T"
Sr 0.000 0.000 0.000
Si 0.000 0.000 2.401
Os 0.000 2.351 0.000
Os 2.351 0.000 0.000
W 2.351 2.351 2.401
```

Results
- energy relative to the elements, uncorrected (kJ/mol of formula units) = 1723
- E_tot (eV/cell) = -24.664
- spin magnetization (μB/cell) = 0.00
- symmetry = P4/mmm, No. 123



[8]
## SrZnSiOs2 (PBE-GGA)

Data for a relaxed SrZnSiOs2 crystal.

The structure in extended XYZ format:
```
5
Lattice="4.750 0.000 0.000 0.000 4.750 0.000 0.000 0.000 4.507" Properties=species:S:1:pos:R:3 pbc="T T T"
Sr 0.000 0.000 0.000
Zn 2.375 2.375 2.253
Si 2.375 2.375 0.000
Os 0.000 2.375 2.253
Os 2.375 0.000 2.253
```

Results
- energy relative to the elements, uncorrected (kJ/mol of formula units) = 603
- E_tot (eV/cell) = -24.588
- spin magnetization (μB/cell) = 1.55
- symmetry = P4/mmm, No. 123



[9]
## SrZrSi2Os (PBE-GGA)

Data for a relaxed SrZrSi2Os crystal.

The structure in extended XYZ format:
```
5
Lattice="4.958 0.000 0.000 0.000 4.958 0.000 0.000 0.000 5.035" Properties=species:S:1:pos:R:3 pbc="T T T"
Sr 0.000 0.000 0.000
Zr 0.000 0.000 2.518
Si 0.000 2.479 0.000
Si 2.479 0.000 0.000
Os 2.479 2.479 2.518
```

Results
- energy relative to the elements, uncorrected (kJ/mol of formula units) = 1306
- E_tot (eV/cell) = -18.767
- spin magnetization (μB/cell) = 0.39
- symmetry = P4/mmm, No. 123



[10]
## Ta2SiOs2 (PBE-GGA)

Data for a relaxed Ta2SiOs2 crystal.

The structure in extended XYZ format:
```
10
Lattice="7.463 0.000 0.000 0.000 7.463 0.000 0.000 0.000 3.039" Properties=species:S:1:pos:R:3 pbc="T T T"
Ta 1.187 2.545 0.000
Ta 2.545 6.276 0.000
Ta 4.919 1.187 0.000
Ta 6.276 4.919 0.000
Si 0.000 0.000 1.519
Si 3.732 3.732 1.519
Os 1.020 4.752 1.519
Os 2.711 1.020 1.519
Os 4.752 6.443 1.519
Os 6.443 2.711 1.519
```

Results
- energy relative to the elements, uncorrected (kJ/mol of formula units) = 15
- E_tot (eV/cell) = -102.863
- spin magnetization (μB/cell) = 0.00
- symmetry = P4/mbm, No. 127



[11]
## Ta4SiOs (PBE-GGA)

Data for a relaxed Ta4SiOs crystal.

The structure in extended XYZ format:
```
6
Lattice="0.000 3.764 3.764 3.764 0.000 3.764 3.764 3.764 0.000" Properties=species:S:1:pos:R:3 pbc="T T T"
Ta 2.827 2.827 2.827
Ta 4.701 4.701 2.827
Ta 4.701 2.827 4.701
Ta 2.827 4.701 4.701
Si 5.646 5.646 5.646
Os 0.000 0.000 0.000
```

Results
- energy relative to the elements, uncorrected (kJ/mol of formula units) = 306
- E_tot (eV/cell) = -60.887
- spin magnetization (μB/cell) = 0.00
- symmetry = F-43m, No. 216



[12]
## TaSi3Os (PBE-GGA)

Data for a relaxed TaSi3Os crystal.

The structure in extended XYZ format:
```
5
Lattice="4.755 0.000 0.000 0.000 4.755 0.000 0.000 0.000 4.755" Properties=species:S:1:pos:R:3 pbc="T T T"
Ta 0.000 0.000 0.000
Si 0.000 0.000 2.378
Si 0.000 2.378 0.000
Si 2.378 0.000 0.000
Os 2.378 2.378 2.378
```

Results
- energy relative to the elements, uncorrected (kJ/mol of formula units) = 809
- E_tot (eV/cell) = -30.964
- spin magnetization (μB/cell) = 3.02
- symmetry = Pm-3m, No. 221
- excess energy over the best structure of this formula in the dataset (meV per atom) = 580



> The lowest E_tot belongs to which entry?

Ta2SiOs2